No. 1
SmTmGe2Pd5 after structural relaxation, computed with PBE.

Lattice parameters (Å, degrees): 4.2463 4.2463 9.1070 90.00 90.00 90.00
Last column: nearest neighbours and their distance in Å.
Space group P4/mmm (No. 123)
Unique sites:
Sm: 0.0000 0.0000 0.0000 (multiplicity 1)  12 Pd 2.97-3.00
Tm: 0.0000 0.0000 0.5000 (multiplicity 1)  8 Ge 3.24, 8 Pd 3.26
Ge: 0.5000 0.5000 0.3668 (multiplicity 2)  1 Ge 2.43, 4 Pd 2.47
Pd: 0.0000 0.5000 0.2286 (multiplicity 4)  2 Ge 2.47
Pd: 0.5000 0.5000 0.0000 (multiplicity 1)  8 Pd 2.97, 4 Sm 3.00

Computed properties:
Fermi-level density of states ... 2.67 states/eV/cell
Volume ... 164 Å³ per cell
Calculated formation energy ... -77.0 kJ per mole of atoms


No. 2
SmTmGePd after structural relaxation, computed with PBE.

Lattice parameters (Å, degrees): 4.3092 3.9489 10.9218 90.00 90.00 90.00
Last column: nearest neighbours and their distance in Å.
Space group Amm2 (No. 38)
Unique sites:
Sm: 0.0000 0.0000 0.0000 (multiplicity 2)  4 Ge 3.00, 3 Pd 3.03-3.13
Tm: 0.5000 0.0000 0.7227 (multiplicity 2)  4 Pd 2.98, 3 Ge 3.07-3.11
Ge: 0.5000 0.0000 0.4381 (multiplicity 2)  2 Pd 2.78, 4 Sm 3.00, 3 Tm 3.07-3.11
Pd: 0.0000 0.0000 0.2774 (multiplicity 2)  2 Ge 2.78, 4 Tm 2.98, 1 Sm 3.03

Computed properties:
Excess energy over the best structure of this formula in the dataset ... 0.000 eV per atom
Fermi-level density of states ... 3.18 states/eV/cell
Volume ... 186 Å³ per cell
Calculated formation energy ... -83.9 kJ per mole of atoms


no.,size of the total moment (μB per formula unit)
1,0.0
2,0.0